First-principles (GGA-PBE) data for a relaxed Dy8GeP5 crystal, as listed in Alexandria via LeMat-Bulk.

Calculated values
symmetry = No. 82
magnetization = 0.000 μB per formula unit
E = -6.131 eV per atom
ΔH_f (0 K) = -17.36 eV per formula unit

abc: 7.3934 7.3934 7.3934
angles: 109.32 109.77 109.32
Sites, in units of the cell vectors:
Dy1 0.6332 0.8865 0.8759
Dy2 0.1241 0.7573 0.0106
Dy3 0.4956 0.6198 0.2459
Dy4 0.2533 0.2427 0.3668
Dy5 0.6261 0.3802 0.8757
Dy6 0.1243 0.7504 0.5044
Dy7 0.7541 0.2496 0.3739
Dy8 0.9894 0.1135 0.7467
Ge1 0.2500 0.5000 0.7500
P1 0.0018 0.3777 0.1268
P2 0.8732 0.8750 0.2508
P3 0.5000 0.0000 0.5000
P4 0.3759 0.1250 0.9982
P5 0.7492 0.6223 0.6241

=====

First-principles (GGA-PBE) data for a relaxed LaMgTeMo2 crystal, as listed in Alexandria via LeMat-Bulk.

Calculated values
symmetry = No. 123
magnetization = 0.673 μB per formula unit
E = -5.047 eV per atom
formation energy without anion corrections = 1.218 eV per atom

abc: 4.8182 5.3196 4.8182
angles: 90.00 90.00 90.00
Sites, in units of the cell vectors:
La1 0.5000 0.5000 0.5000
Te1 0.0000 0.5000 0.0000
Mg1 0.0000 0.0000 0.0000
Mo1 0.0000 0.0000 0.5000
Mo2 0.5000 0.0000 0.0000

=====

First-principles (GGA-PBE) data for a relaxed Er3AlTl4Se8 crystal, as listed in Alexandria via LeMat-Bulk.

Calculated values
symmetry = No. 166
magnetization = 0.000 μB per formula unit
E = -4.592 eV per atom
formation energy without anion corrections = -1.169 eV per atom

abc: 8.1629 9.0969 8.1625
angles: 116.65 120.00 90.00
Sites, in units of the cell vectors:
Tl1 0.0000 0.0000 0.5000
Tl2 0.5000 0.0000 0.5000
Tl3 0.5000 0.0000 0.0000
Tl4 0.0000 0.0000 0.0000
Se1 0.2483 0.3063 0.0273
Se2 0.2210 0.6937 0.9727
Se3 0.7790 0.3063 0.0273
Se4 0.7517 0.6937 0.9727
Se5 0.2207 0.6935 0.4415
Se6 0.2652 0.2957 0.5305
Se7 0.7793 0.3065 0.5585
Se8 0.7348 0.7043 0.4695
Er1 0.5000 0.5000 0.5000
Er2 0.0000 0.5000 0.5000
Er3 0.5000 0.5000 0.0000
Al1 0.0000 0.5000 0.0000

=====

First-principles (GGA-PBE) data for a relaxed Th2Ga3Si crystal, as listed in Alexandria via LeMat-Bulk.

Calculated values
symmetry = No. 69
magnetization = 0.000 μB per formula unit
E = -5.493 eV per atom
formation energy without anion corrections = -0.602 eV per atom

abc: 5.9886 5.9886 8.4795
angles: 110.79 110.79 89.70
Sites, in units of the cell vectors:
Th1 0.2500 0.7500 0.5000
Th2 0.2535 0.7465 0.0000
Th3 0.7500 0.2500 0.5000
Th4 0.7465 0.2535 0.0000
Ga1 0.1682 0.1682 0.3364
Ga2 0.8318 0.8318 0.6636
Ga3 0.6656 0.6656 0.8322
Ga4 0.1666 0.1666 0.8322
Ga5 0.8334 0.8334 0.1678
Ga6 0.3344 0.3344 0.1678
Si1 0.6660 0.6660 0.3319
Si2 0.3340 0.3340 0.6681

=====

First-principles (GGA-PBE) data for a relaxed Pr3Al2In crystal, as listed in Alexandria via LeMat-Bulk.

Calculated values
symmetry = No. 123
magnetization = 0.000 μB per formula unit
E = -4.479 eV per atom
ΔH_f (0 K) = -2.31 eV per formula unit

abc: 3.8005 3.8005 11.4804
angles: 90.00 90.00 90.00
Sites, in units of the cell vectors:
Al1 0.5000 0.5000 0.8384
Al2 0.5000 0.5000 0.1616
Pr1 0.0000 0.0000 0.6768
Pr2 0.0000 0.0000 0.3232
Pr3 0.0000 0.0000 0.0000
In1 0.5000 0.5000 0.5000

=====

First-principles (GGA-PBE) data for a relaxed Ni3BIr crystal, as listed in Alexandria via LeMat-Bulk.

Calculated values
symmetry = No. 221
magnetization = 0.000 μB per formula unit
E = -6.386 eV per atom
ΔH_f (0 K) = 0.95 eV per formula unit

abc: 3.8156 3.8156 3.8156
angles: 90.00 90.00 90.00
Sites, in units of the cell vectors:
B1 0.0000 0.0000 0.0000
Ni1 0.0000 0.0000 0.5000
Ni2 0.5000 0.0000 0.0000
Ni3 0.0000 0.5000 0.0000
Ir1 0.5000 0.5000 0.5000

=====

First-principles (GGA-PBE) data for a relaxed BeTe2N2 crystal, as listed in Alexandria via LeMat-Bulk.

Calculated values
symmetry = No. 123
magnetization = 2.796 μB per formula unit
E = -3.800 eV per atom
formation energy without anion corrections = 1.532 eV per atom

abc: 4.1218 4.1218 4.9624
angles: 90.00 90.00 90.00
Sites, in units of the cell vectors:
N1 0.0000 0.5000 0.0000
N2 0.5000 0.0000 0.0000
Te1 0.0000 0.0000 0.5000
Te2 0.5000 0.5000 0.5000
Be1 0.0000 0.0000 0.0000

=====

First-principles (GGA-PBE) data for a relaxed PmGa2Tc4 crystal, as listed in Alexandria via LeMat-Bulk.

Calculated values
symmetry = No. 65
magnetization = 0.000 μB per formula unit
E = -7.740 eV per atom
ΔH_f (0 K) = -1.91 eV per formula unit

abc: 4.2142 4.2140 7.4199
angles: 106.50 90.00 90.00
Sites, in units of the cell vectors:
Tc1 0.5000 0.2000 0.4000
Tc2 0.0000 0.7000 0.4001
Tc3 0.0000 0.3000 0.5999
Tc4 0.5000 0.8000 0.6000
Pm1 0.0000 0.0000 0.0000
Ga1 0.5000 0.4115 0.8230
Ga2 0.5000 0.5885 0.1770